[1]
Below is a relaxed structure of CeNdEr2Se6, with properties calculated at the PBE level.

a = 7.3328 Å, b = 7.3328 Å, c = 19.4594 Å
α = 90.00°, β = 90.00°, γ = 120.00°
Space group R3 (No. 146, hexagonal axes)
Inequivalent atoms, fractional coordinates:
Ce1 0.0000 0.0000 0.0000 x3
Nd1 0.0000 0.0000 0.4998 x3
Er1 0.0000 0.0000 0.2007 x3
Er2 0.0000 0.0000 0.7007 x3
Se1 0.0444 0.3542 0.7725 x9
Se2 0.0465 0.6924 0.2726 x9

Computed properties:
Size of the total moment in μB per cell: 3.02
Energy in eV/atom: -5.889
D(E_F) in states/eV/atom: 0.49
Calculated density in g cm⁻³: 6.01

---

[2]
Below is a relaxed structure of BTe3Os, with properties calculated at the PBE level.

a = 4.644 Å, b = 4.644 Å, c = 4.644 Å
α = 90.00°, β = 90.00°, γ = 90.00°
Space group Pm-3m (No. 221)
Inequivalent atoms, fractional coordinates:
B1 0.000 0.000 0.000 x1
Te1 0.000 0.000 0.500 x3
Os1 0.500 0.500 0.500 x1

Computed properties:
Size of the total moment in μB per cell: 0.00
Offset from the most stable computed form in kJ per mole of atoms: 0.0
Energy in eV/atom: -4.131
D(E_F) in states/eV/atom: 0.47
Calculated density in g cm⁻³: 9.68

---

[3]
Below is a relaxed structure of Cd2SiAgW, with properties calculated at the PBE level.

a = 5.319 Å, b = 5.319 Å, c = 4.716 Å
α = 90.00°, β = 90.00°, γ = 90.00°
Space group P4/mmm (No. 123)
Inequivalent atoms, fractional coordinates:
Cd1 0.000 0.500 0.000 x2
Si1 0.000 0.000 0.500 x1
Ag1 0.500 0.500 0.500 x1
W1 0.000 0.000 0.000 x1

Computed properties:
Size of the total moment in μB per cell: 0.00
Energy in eV/atom: -3.576
D(E_F) in states/eV/atom: 0.75
Calculated density in g cm⁻³: 6.78

---

[4]
Below is a relaxed structure of ErPu2, with properties calculated at the PBE level.

a = 8.683 Å, b = 8.683 Å, c = 8.683 Å
α = 90.00°, β = 90.00°, γ = 90.00°
Space group Fd-3m (No. 227, origin choice 2)
Inequivalent atoms, fractional coordinates:
Er1 0.125 0.125 0.125 x8
Pu1 0.000 0.000 0.500 x16

Computed properties:
ΔH_f (0 K) in meV/atom: 227.2
Size of the total moment in μB per cell: 90.16
Offset from the most stable computed form in kJ per mole of atoms: 0.0
Energy in eV/atom: -10.848
D(E_F) in states/eV/atom: 4.61
Calculated density in g cm⁻³: 13.30

---

[5]
Below is a relaxed structure of Er2Ga3Pd8, with properties calculated at the PBE level.

a = 13.023 Å, b = 5.515 Å, c = 7.848 Å
α = 90.00°, β = 125.72°, γ = 90.00°
Space group C2/m (No. 12)
Inequivalent atoms, fractional coordinates:
Er1 0.134 0.000 0.256 x4
Ga1 0.000 0.239 0.500 x4
Ga2 0.000 0.500 0.000 x2
Pd1 0.118 0.500 0.403 x4
Pd2 0.121 0.248 0.906 x8
Pd3 0.215 0.000 0.704 x4

Computed properties:
ΔH_f (0 K) in meV/atom: -671.9
Size of the total moment in μB per cell: 0.00
Energy in eV/atom: -5.268
D(E_F) in states/eV/atom: 0.38
Calculated density in g cm⁻³: 10.13

---

[6]
Below is a relaxed structure of CdCN2, with properties calculated at the PBE level.

a = 3.6085 Å, b = 3.6085 Å, c = 14.6368 Å
α = 90.00°, β = 90.00°, γ = 120.00°
Space group R-3m (No. 166, hexagonal axes)
Inequivalent atoms, fractional coordinates:
Cd1 0.0000 0.0000 0.0000 x3
C1 0.0000 0.0000 0.5000 x3
N1 0.0000 0.0000 0.4155 x6

Computed properties:
Size of the total moment in μB per cell: 0.00
Energy in eV/atom: -6.604
D(E_F) in states/eV/atom: 0.00
Calculated density in g cm⁻³: 4.60